The following is a DFT calculation (PBE) of an optimized crystal structure of NdHoEr2Sb4.

Cell: 4.4045 7.6201 7.6221 Å, 70.51 90.00 90.00°
Closest atoms and distances in Å follow each position.
Positions (direct):
Sb 0.0000 0.7578 0.7428  3 Er 3.07-3.11, 1 Ho 3.12, 2 Nd 3.16
Sb 0.5000 0.2455 0.7470  3 Er 3.06-3.11, 2 Ho 3.12, 1 Nd 3.16
Sb 0.0000 0.2422 0.2572  3 Er 3.07-3.11, 1 Ho 3.12, 2 Nd 3.16
Sb 0.5000 0.7545 0.2530  3 Er 3.06-3.11, 2 Ho 3.12, 1 Nd 3.16
Er 0.5000 0.0000 0.5000  6 Sb 3.06-3.07
Er 0.0000 0.0000 0.0000  6 Sb 3.11
Nd 0.5000 0.5000 0.0000  6 Sb 3.16
Ho 0.0000 0.5000 0.5000  6 Sb 3.12

Summary:
- Fermi-level density of states: 1.1 states/eV/cell
- Formation energy without anion corrections: -25.74 kcal/mol of atoms